A plane-wave DFT calculation with GGA-PBE was carried out for crystalline Nd3ErZn8 at its relaxed geometry.

Cell: 5.5522 5.5522 9.5779 Å, 73.15 73.15 60.00°
Last column: nearest neighbours and their distance in Å.
Positions (direct):
Nd 0.3745 0.3745 0.8764  12 Zn 3.25-3.27, 4 Nd 3.38-3.39
Nd 0.0004 0.0004 0.9989  12 Zn 3.25-3.27, 1 Er 3.38, 3 Nd 3.39
Nd 0.4994 0.4994 0.5017  12 Zn 3.22-3.26, 1 Nd 3.38, 3 Er 3.41
Er 0.8757 0.8757 0.3730  12 Zn 3.22-3.26, 4 Nd 3.38-3.41
Zn 0.9346 0.4371 0.1912  6 Zn 2.75-2.80
Zn 0.4410 0.9375 0.6839  6 Zn 2.75-2.80
Zn 0.4371 0.4371 0.1912  6 Zn 2.75-2.80
Zn 0.9375 0.9375 0.6839  6 Zn 2.75-2.80
Zn 0.1874 0.1874 0.4379  6 Zn 2.75
Zn 0.6877 0.6877 0.9368  6 Zn 2.78-2.80
Zn 0.4371 0.9346 0.1912  6 Zn 2.75-2.80
Zn 0.9375 0.4410 0.6839  6 Zn 2.75-2.80

Values from the calculation:
* calculated volume: 20.079 Å³ per atom
* spin magnetization: 0.00 μB per formula unit
* ΔH_f (0 K): -318 meV per atom
* polymorph energy (0 for the lowest one): 0.00 kcal/mol of atoms